Entry 1:
## UFeH3 (PBE)

Data for an optimized crystal structure of UFeH3.

Computed properties:
The value obtained for the raw total energy is -6.090 eV/atom.

Cell: 3.522 3.522 3.522 Å, 90.00 90.00 90.00°
Site moments in Bohr magnetons follow the coordinates.
Atoms (fractional coordinates):
H 0.500 0.000 0.000  0.00
H 0.000 0.000 0.500  0.00
U 0.500 0.500 0.500  2.69
Fe 0.000 0.000 0.000  -1.17
H 0.000 0.500 0.000  0.00

---

Entry 2:
## NaTl2InCl5 (PBE)

Data for an optimized crystal structure of NaTl2InCl5.

Computed properties:
The value obtained for the raw total energy is -3.125 eV/atom.

Cell: 4.809 9.151 12.896 Å, 90.00 90.00 105.23°
Atoms (fractional coordinates):
Cl 0.949 0.899 0.531
Cl 0.682 0.365 0.881
Na 0.216 0.431 0.017
Tl 0.121 0.242 0.686
Cl 0.490 0.981 0.773
Cl 0.051 0.101 0.031
Tl 0.146 0.292 0.306
Tl 0.854 0.708 0.806
In 0.535 0.070 0.960
Cl 0.318 0.635 0.381
In 0.465 0.930 0.460
Tl 0.879 0.758 0.186
Cl 0.290 0.579 0.659
Na 0.784 0.569 0.517
Cl 0.372 0.744 0.010
Cl 0.628 0.256 0.510
Cl 0.710 0.421 0.159
Cl 0.510 0.019 0.273

---

Entry 3:
## TaTcRu2 (PBE)

Data for an optimized crystal structure of TaTcRu2.

Computed properties:
The value obtained for the formation energy is -0.058 eV per atom. The value obtained for the raw total energy is -10.250 eV/atom.

Cell: 4.779 4.779 4.827 Å, 80.32 80.32 33.96°
Atoms (fractional coordinates):
Ru 0.997 0.997 0.018
Tc 0.250 0.250 0.250
Ru 0.503 0.503 0.482
Ta 0.750 0.750 0.750

---

Entry 4:
## SrOsW (PBE)

Data for an optimized crystal structure of SrOsW.

Computed properties:
The value obtained for the formation energy is 0.623 eV per atom. The value obtained for the raw total energy is -7.999 eV/atom.

Cell: 4.189 4.189 5.125 Å, 90.00 90.00 120.00°
Atoms (fractional coordinates):
Sr 0.667 0.333 0.339
W 0.333 0.667 0.855
Os 0.000 0.000 0.807

---

Entry 5:
## Ac5Pr2Y6 (PBE)

Data for an optimized crystal structure of Ac5Pr2Y6.

Computed properties:
The value obtained for the formation energy is 0.090 eV per atom. The value obtained for the raw total energy is -5.209 eV/atom.

Cell: 3.790 11.927 21.882 Å, 90.00 90.00 90.00°
Atoms (fractional coordinates):
Ac 0.500 0.000 0.500
Y 0.000 0.159 0.382
Ac 0.500 0.927 0.073
Ac 0.500 0.355 0.722
Pr 0.000 0.383 0.284
Y 0.500 0.084 0.651
Ac 0.500 0.645 0.278
Pr 0.000 0.617 0.716
Ac 0.500 0.145 0.222
Ac 0.500 0.855 0.778
Y 0.000 0.272 0.557
Y 0.000 0.228 0.057
Y 0.000 0.728 0.443
Y 0.000 0.841 0.618
Pr 0.000 0.883 0.216
Y 0.000 0.772 0.943
Y 0.000 0.659 0.118
Ac 0.500 0.500 0.000
Ac 0.500 0.073 0.927
Y 0.000 0.341 0.882
Y 0.500 0.916 0.349
Ac 0.500 0.427 0.427
Ac 0.500 0.573 0.573
Y 0.500 0.416 0.151
Y 0.500 0.584 0.849
Pr 0.000 0.117 0.784

---

Entry 6:
## Zr4BeGa (PBE)

Data for an optimized crystal structure of Zr4BeGa.

Computed properties:
The value obtained for the formation energy is -0.266 eV per atom. The value obtained for the raw total energy is -7.090 eV/atom.

Cell: 5.455 5.455 5.455 Å, 101.32 101.32 127.41°
Atoms (fractional coordinates):
Be 0.000 0.000 0.000
Ga 0.500 0.500 0.000
Zr 0.905 0.405 0.810
Zr 0.095 0.905 0.500
Zr 0.405 0.595 0.500
Zr 0.595 0.095 0.190

---

Entry 7:
## ThZrFeCu (PBE)

Data for an optimized crystal structure of ThZrFeCu.

Computed properties:
The value obtained for the formation energy is 0.025 eV per atom. The value obtained for the raw total energy is -7.107 eV/atom.

Cell: 4.795 4.795 4.795 Å, 60.00 60.00 60.00°
Site moments in Bohr magnetons follow the coordinates.
Atoms (fractional coordinates):
Cu 0.000 0.000 0.000  -0.01
Th 0.750 0.750 0.750  -0.11
Fe 0.500 0.500 0.500  1.21
Zr 0.250 0.250 0.250  -0.27

---

Entry 8:
## LiSm2PuSe5 (PBE)

Data for an optimized crystal structure of LiSm2PuSe5.

Computed properties:
The value obtained for the raw total energy is -6.382 eV/atom.

Cell: 4.132 8.847 12.411 Å, 90.00 90.00 103.51°
Site moments in Bohr magnetons follow the coordinates.
Atoms (fractional coordinates):
Sm 0.891 0.783 0.185  0.01
Se 0.954 0.907 0.575  -0.06
Sm 0.125 0.249 0.298  0.03
Se 0.287 0.575 0.663  -0.07
Se 0.691 0.382 0.841  -0.07
Pu 0.198 0.397 0.003  5.08
Se 0.713 0.425 0.163  -0.07
Se 0.366 0.731 0.998  -0.03
Sm 0.109 0.217 0.685  0.01
Se 0.634 0.269 0.498  -0.03
Se 0.309 0.618 0.341  -0.07
Se 0.046 0.093 0.075  -0.06
Pu 0.802 0.603 0.503  5.08
Sm 0.875 0.751 0.798  0.03
Li 0.482 0.964 0.479  0.00
Se 0.500 0.000 0.282  -0.01
Se 0.500 0.000 0.782  -0.01
Li 0.518 0.036 0.979  0.00

---

Entry 9:
## Nd4Zn3Au (PBE)

Data for an optimized crystal structure of Nd4Zn3Au.

Computed properties:
The value obtained for the formation energy is -0.390 eV per atom. The value obtained for the raw total energy is -3.661 eV/atom.

Cell: 3.753 4.606 11.901 Å, 90.00 90.00 90.00°
Atoms (fractional coordinates):
Zn 0.500 0.000 0.929
Au 0.500 0.500 0.070
Nd 0.000 0.500 0.851
Nd 0.500 0.500 0.351
Nd 0.500 0.000 0.652
Zn 0.000 0.000 0.434
Nd 0.000 0.000 0.148
Zn 0.000 0.500 0.566

---

Entry 10:
## AcPmPr2Tl2 (PBE)

Data for an optimized crystal structure of AcPmPr2Tl2.

Computed properties:
The value obtained for the formation energy is -0.245 eV per atom. The value obtained for the raw total energy is -4.104 eV/atom.

Cell: 5.307 7.241 10.515 Å, 90.00 90.00 90.00°
Atoms (fractional coordinates):
Pr 0.000 0.339 0.180
Ac 0.000 0.952 0.450
Tl 0.500 0.225 0.365
Tl 0.000 0.796 0.132
Pm 0.500 0.673 0.304
Pm 0.500 0.173 0.696
Pr 0.500 0.061 0.049
Tl 0.000 0.296 0.868
Tl 0.500 0.725 0.635
Ac 0.000 0.452 0.550
Pr 0.000 0.839 0.820
Pr 0.500 0.561 0.951

---

Entry 11:
## Y2SiTe (PBE)

Data for an optimized crystal structure of Y2SiTe.

Computed properties:
The value obtained for the raw total energy is -6.057 eV/atom.

Cell: 5.227 5.227 5.227 Å, 60.00 60.00 60.00°
Atoms (fractional coordinates):
Si 0.000 0.000 0.000
Y 0.750 0.750 0.750
Te 0.500 0.500 0.500
Y 0.250 0.250 0.250

---

Entry 12:
## SrLaW2 (PBE)

Data for an optimized crystal structure of SrLaW2.

Computed properties:
The value obtained for the formation energy is 1.202 eV per atom. The value obtained for the raw total energy is -6.927 eV/atom.

Cell: 6.040 6.040 6.040 Å, 139.90 139.82 58.07°
Atoms (fractional coordinates):
Sr 0.750 0.250 0.500
W 0.500 0.500 0.000
La 0.250 0.750 0.500
W 0.000 0.000 0.000

---

Entry 13:
## MnZnCo2 (PBE)

Data for an optimized crystal structure of MnZnCo2.

Computed properties:
The value obtained for the formation energy is 0.086 eV per atom. The value obtained for the raw total energy is -6.078 eV/atom.

Cell: 2.524 2.524 8.057 Å, 90.00 90.00 109.49°
Site moments in Bohr magnetons follow the coordinates.
Atoms (fractional coordinates):
Mn 0.500 0.500 0.250  2.77
Co 0.000 0.000 0.008  1.58
Zn 0.500 0.500 0.750  -0.03
Co 0.000 0.000 0.492  1.58

---

Entry 14:
## Cu2Pb5Br12 (PBE)

Data for an optimized crystal structure of Cu2Pb5Br12.

Computed properties:
The value obtained for the raw total energy is -3.189 eV/atom.

Cell: 8.423 9.192 10.155 Å, 107.46 90.00 117.27°
Atoms (fractional coordinates):
Br 0.416 0.290 0.044
Br 0.925 0.318 0.603
Pb 0.687 0.373 0.284
Br 0.126 0.710 0.956
Pb 0.328 0.657 0.181
Cu 0.847 0.000 0.000
Br 0.510 0.020 0.302
Br 0.584 0.710 0.956
Cu 0.153 0.000 0.000
Br 0.968 0.936 0.777
Br 0.606 0.682 0.397
Br 0.874 0.290 0.044
Br 0.394 0.318 0.603
Pb 0.000 0.000 0.500
Br 0.075 0.682 0.397
Br 0.032 0.064 0.223
Pb 0.313 0.627 0.716
Br 0.490 0.980 0.698
Pb 0.672 0.343 0.819

---

Entry 15:
## Os3F (PBE)

Data for an optimized crystal structure of Os3F.

Computed properties:
The value obtained for the raw total energy is -8.431 eV/atom.

Cell: 4.251 4.251 4.251 Å, 60.00 60.00 60.00°
Atoms (fractional coordinates):
Os 0.750 0.750 0.750
F 0.000 0.000 0.000
Os 0.500 0.500 0.500
Os 0.250 0.250 0.250

---

Entry 16:
## LiCd3Hg2 (PBE)

Data for an optimized crystal structure of LiCd3Hg2.

Computed properties:
The value obtained for the formation energy is -0.107 eV per atom. The value obtained for the raw total energy is -0.984 eV/atom.

Cell: 5.352 7.922 7.931 Å, 124.85 84.57 105.79°
Atoms (fractional coordinates):
Cd 0.391 0.396 0.766
Hg 0.404 0.090 0.899
Li 0.141 0.131 0.265
Cd 0.280 0.612 0.565
Hg 0.803 0.132 0.600
Cd 0.720 0.388 0.435
Li 0.859 0.869 0.735
Cd 0.010 0.346 0.068
Hg 0.197 0.868 0.400
Cd 0.990 0.654 0.932
Cd 0.609 0.604 0.234
Hg 0.596 0.910 0.101

---

Entry 17:
## Ac3ZnCu2Ni6 (PBE)

Data for an optimized crystal structure of Ac3ZnCu2Ni6.

Computed properties:
The value obtained for the formation energy is -0.111 eV per atom. The value obtained for the raw total energy is -4.818 eV/atom.

Cell: 5.548 5.548 8.541 Å, 90.00 90.00 120.00°
Atoms (fractional coordinates):
Ni 0.640 0.820 0.290
Zn 0.000 0.000 0.500
Ni 0.820 0.180 0.710
Ac 0.000 0.000 0.000
Ac 0.667 0.333 0.358
Ac 0.333 0.667 0.642
Cu 0.667 0.333 0.943
Ni 0.820 0.640 0.710
Cu 0.333 0.667 0.057
Ni 0.180 0.820 0.290
Ni 0.180 0.360 0.290
Ni 0.360 0.180 0.710

---

Entry 18:
## Mg3Sc2Cu4 (PBE)

Data for an optimized crystal structure of Mg3Sc2Cu4.

Computed properties:
The value obtained for the formation energy is -0.160 eV per atom. The value obtained for the raw total energy is -3.919 eV/atom.

Cell: 4.549 4.550 8.554 Å, 90.00 90.00 60.00°
Atoms (fractional coordinates):
Cu 0.000 0.000 0.648
Mg 0.333 0.333 0.419
Sc 0.333 0.334 0.789
Cu 0.000 0.000 0.352
Sc 0.667 0.666 0.211
Cu 0.334 0.333 0.102
Mg 0.000 0.000 0.000
Mg 0.667 0.667 0.581
Cu 0.666 0.667 0.898

---

Entry 19:
## DyTlCrCl6 (PBE)

Data for an optimized crystal structure of DyTlCrCl6.

Computed properties:
The value obtained for the raw total energy is -4.639 eV/atom.

Cell: 6.975 6.663 7.180 Å, 88.41 86.97 58.44°
Site moments in Bohr magnetons follow the coordinates.
Atoms (fractional coordinates):
Dy 0.323 0.353 0.500  0.01
Cl 0.985 0.379 0.316  -0.01
Cl 0.365 0.630 0.263  0.02
Cr 0.664 0.672 0.500  3.61
Cl 0.636 0.379 0.684  -0.01
Cl 0.386 0.977 0.702  -0.02
Cl 0.006 0.629 0.737  0.02
Tl 0.998 0.004 0.000  0.01
Cl 0.636 0.977 0.297  -0.02

---

Entry 20:
## KCeMgF6 (PBE)

Data for an optimized crystal structure of KCeMgF6.

Computed properties:
The value obtained for the raw total energy is -5.747 eV/atom.

Cell: 5.931 5.931 10.553 Å, 90.00 90.00 120.00°
Site moments in Bohr magnetons follow the coordinates.
Atoms (fractional coordinates):
F 0.645 0.036 0.354  0.00
F 0.036 0.391 0.646  0.00
F 0.609 0.964 0.854  0.00
K 0.000 0.000 0.500  0.00
F 0.355 0.964 0.646  0.00
F 0.609 0.645 0.646  0.00
K 0.000 0.000 0.000  0.00
F 0.355 0.391 0.854  0.00
Mg 0.333 0.667 0.750  0.00
Ce 0.333 0.667 0.250  0.97
Ce 0.667 0.333 0.750  0.97
F 0.964 0.609 0.354  0.00
F 0.391 0.355 0.354  0.00
F 0.964 0.355 0.146  0.00
Mg 0.667 0.333 0.250  0.00
F 0.036 0.645 0.854  0.00
F 0.645 0.609 0.146  0.00
F 0.391 0.036 0.146  0.00

---

no.,size of the total moment (Bohr magnetons per cell)
1,1.9
2,0.0
3,0.0
4,0.0
5,0.0
6,0.0
7,0.7
8,10.0
9,0.0
10,0.0
11,0.0
12,0.0
13,5.9
14,0.0
15,0.0
16,0.0
17,0.0
18,0.0
19,4.0
20,2.0